Density functional theory data (PBE-GGA) for TbSm2Tm3Se6 after structural relaxation.

## Properties
V ... 24.05 Å³/atom

```
data_TbSm2Tm3Se6
_chemical_formula_sum 'Tb2 Sm4 Tm6 Se12'
_symmetry_space_group_name_H-M 'C 1 2/m 1'
_symmetry_Int_Tables_number 12
_cell_length_a 17.882
_cell_length_b 4.047
_cell_length_c 8.247
_cell_angle_alpha 90.00
_cell_angle_beta 104.71
_cell_angle_gamma 90.00
loop_
_symmetry_equiv_pos_as_xyz
'x,y,z'
'-x,-y,-z'
'-x,y,-z'
'x,-y,z'
'x+1/2,y+1/2,z'
'-x+1/2,-y+1/2,-z'
'-x+1/2,y+1/2,-z'
'x+1/2,-y+1/2,z'
loop_
_atom_site_label
_atom_site_fract_x
_atom_site_fract_y
_atom_site_fract_z
_atom_site_occupancy
Tb1 0.000 0.000 0.000 1
Sm1 0.168 0.500 0.335 1
Tm1 0.000 0.000 0.500 1
Tm2 0.168 0.500 0.833 1
Se1 0.004 0.500 0.747 1
Se2 0.163 0.000 0.592 1
Se3 0.168 0.000 0.073 1
```

Density functional theory data (PBE-GGA) for TbSmTm2Se4 after structural relaxation.

## Properties
V ... 23.94 Å³/atom

```
data_TbSmTm2Se4
_chemical_formula_sum 'Tb1 Sm1 Tm2 Se4'
_symmetry_space_group_name_H-M 'P 1 2/m 1'
_symmetry_Int_Tables_number 10
_cell_length_a 6.997
_cell_length_b 4.011
_cell_length_c 7.204
_cell_angle_alpha 90.00
_cell_angle_beta 108.68
_cell_angle_gamma 90.00
loop_
_symmetry_equiv_pos_as_xyz
'x,y,z'
'-x,-y,-z'
'-x,y,-z'
'x,-y,z'
loop_
_atom_site_label
_atom_site_fract_x
_atom_site_fract_y
_atom_site_fract_z
_atom_site_occupancy
Tb1 0.000 0.000 0.000 1
Sm1 0.500 0.500 0.000 1
Tm1 0.000 0.500 0.500 1
Tm2 0.500 0.000 0.500 1
Se1 0.243 0.000 0.737 1
Se2 0.251 0.500 0.261 1
```

Density functional theory data (PBE-GGA) for Tb3SmTm3Se8 after structural relaxation.

## Properties
V ... 25.03 Å³/atom

```
data_Tb3SmTm3Se8
_chemical_formula_sum 'Tb9 Sm3 Tm9 Se24'
_symmetry_space_group_name_H-M 'R -3 m'
_symmetry_Int_Tables_number 166
_symmetry_space_group_name_Hall '-R 3 2"'
_cell_length_a 8.0946
_cell_length_b 8.0946
_cell_length_c 19.8515
_cell_angle_alpha 90.00
_cell_angle_beta 90.00
_cell_angle_gamma 120.00
loop_
_atom_site_label
_atom_site_fract_x
_atom_site_fract_y
_atom_site_fract_z
_atom_site_occupancy
Tb1 0.0000 0.5000 0.0000 1
Sm1 0.0000 0.0000 0.5000 1
Tm1 0.0000 0.5000 0.5000 1
Se1 0.0000 0.0000 0.2477 1
Se2 0.0144 0.5072 0.7488 1
```

Density functional theory data (PBE-GGA) for TbSm2TmSe4 after structural relaxation.

## Properties
V ... 24.64 Å³/atom

```
data_TbSm2TmSe4
_chemical_formula_sum 'Tb1 Sm2 Tm1 Se4'
_symmetry_space_group_name_H-M 'P 1 2/m 1'
_symmetry_Int_Tables_number 10
_cell_length_a 7.075
_cell_length_b 4.053
_cell_length_c 7.257
_cell_angle_alpha 90.00
_cell_angle_beta 108.73
_cell_angle_gamma 90.00
loop_
_symmetry_equiv_pos_as_xyz
'x,y,z'
'-x,-y,-z'
'-x,y,-z'
'x,-y,z'
loop_
_atom_site_label
_atom_site_fract_x
_atom_site_fract_y
_atom_site_fract_z
_atom_site_occupancy
Tb1 0.000 0.000 0.000 1
Sm1 0.000 0.500 0.500 1
Sm2 0.500 0.000 0.500 1
Tm1 0.500 0.500 0.000 1
Se1 0.250 0.500 0.240 1
Se2 0.258 0.000 0.763 1
```

What are the final energy values for these records? In order: -5.77, -5.76, -5.80, -5.83 eV per atom.
What are the formation energy from raw total energies values for these records? In order: -1.74, -1.73, -1.81, -1.77 eV per atom.
What are the mass density values for these records? In order: 8.3, 8.3, 7.8, 8.0 Mg/m³.